# LiTbMg PBE optimized geometry
# volume: 150 Å³/cell
# energy above the most stable polymorph in this dataset: 0.000 eV per atom
# calculated formation energy: -0.030 eV per atom
data_LiTbMg
_symmetry_space_group_name_H-M 'P 1'
_symmetry_Int_Tables_number 1
_cell_length_a 3.4705
_cell_length_b 3.5134
_cell_length_c 12.2716
_cell_angle_alpha 89.88
_cell_angle_beta 89.98
_cell_angle_gamma 89.99
loop_
_symmetry_equiv_pos_as_xyz
'x,y,z'
loop_
_atom_site_label
_atom_site_fract_x
_atom_site_fract_y
_atom_site_fract_z
_atom_site_occupancy
Li1 0.0000 0.0000 0.0000 1
Li2 0.4993 0.4994 0.8659 1
Tb1 0.0011 0.9999 0.3306 1
Tb2 0.5006 0.4999 0.5359 1
Mg1 0.0012 0.0008 0.7258 1
Mg2 0.5031 0.4995 0.1408 1